# 1
First-principles (GGA-PBE) data for a geometry-optimized SiAgHg2 structure, as listed in Alexandria.

Values from the calculation:
* spin magnetization: 0.00 μB/f.u.
* formation energy (no corrections): 276 meV/atom

a b c (Å): 4.725 4.725 7.207
angles (deg): 75.31 75.31 36.60
Element x y z (fractional)
Ag1 0.818 0.818 0.571
Hg1 0.980 0.980 0.003
Hg2 0.176 0.176 0.272
Si1 0.526 0.526 0.654

---

# 2
First-principles (GGA-PBE) data for a geometry-optimized Ho2Cd5Hg structure, as listed in Alexandria.

Values from the calculation:
* spin magnetization: 0.00 μB/f.u.
* E_form: -254.4 meV per atom

a b c (Å): 4.448 6.574 13.127
angles (deg): 90.00 90.00 90.00
Element x y z (fractional)
Ho1 0.500 0.233 0.621
Ho2 0.500 0.767 0.379
Ho3 0.500 0.267 0.121
Ho4 0.500 0.733 0.879
Cd1 0.000 0.000 0.000
Cd2 0.000 0.500 0.500
Cd3 0.000 0.485 0.747
Cd4 0.000 0.515 0.253
Cd5 0.000 0.015 0.247
Cd6 0.000 0.985 0.753
Cd7 0.500 0.234 0.871
Cd8 0.500 0.766 0.129
Cd9 0.500 0.266 0.371
Cd10 0.500 0.734 0.629
Hg1 0.000 0.000 0.500
Hg2 0.000 0.500 0.000

---

# 3
First-principles (GGA-PBE) data for a geometry-optimized MgPa3Tl4O12 structure, as listed in Alexandria.

Values from the calculation:
* spin magnetization: 0.00 μB/f.u.
* formation energy (no corrections): -2230 meV/atom

a b c (Å): 7.523 7.523 7.523
angles (deg): 109.47 109.47 109.47
Element x y z (fractional)
Mg1 0.000 0.000 0.000
Pa1 0.500 0.000 0.500
Pa2 0.500 0.500 0.000
Pa3 0.000 0.500 0.500
Tl1 0.500 0.500 0.500
Tl2 0.000 0.000 0.500
Tl3 0.500 0.000 0.000
Tl4 0.000 0.500 0.000
O1 0.250 0.500 0.750
O2 0.748 0.000 0.748
O3 0.252 0.000 0.252
O4 0.750 0.500 0.250
O5 0.748 0.748 0.000
O6 0.252 0.252 0.000
O7 0.750 0.250 0.500
O8 0.250 0.750 0.500
O9 0.500 0.250 0.750
O10 0.000 0.748 0.748
O11 0.500 0.750 0.250
O12 0.000 0.252 0.252

---

# 4
First-principles (GGA-PBE) data for a geometry-optimized Sm3Tm2Bi2 structure, as listed in Alexandria.

Values from the calculation:
* spin magnetization: 0.00 μB/f.u.
* E_form: -268.0 meV per atom

a b c (Å): 4.028 7.317 8.712
angles (deg): 112.05 103.37 90.00
Element x y z (fractional)
Sm1 0.000 0.500 0.000
Sm2 0.222 0.695 0.444
Sm3 0.778 0.305 0.556
Tm1 0.907 0.819 0.813
Tm2 0.093 0.181 0.187
Bi1 0.600 0.862 0.201
Bi2 0.400 0.138 0.799

---

# 5
First-principles (GGA-PBE) data for a geometry-optimized K2TaH6 structure, as listed in Alexandria.

Values from the calculation:
* spin magnetization: 1.00 μB/f.u.
* VASP energy: -3.673 eV/atom

a b c (Å): 6.007 6.007 6.007
angles (deg): 60.00 60.00 60.00
Element x y z (fractional)
H1 0.222 0.778 0.222
H2 0.778 0.222 0.222
H3 0.222 0.778 0.778
H4 0.778 0.222 0.778
H5 0.778 0.778 0.222
H6 0.222 0.222 0.778
K1 0.750 0.750 0.750
K2 0.250 0.250 0.250
Ta1 0.000 0.000 0.000

---

# 6
First-principles (GGA-PBE) data for a geometry-optimized Cs4Tl4Rh structure, as listed in Alexandria.

Values from the calculation:
* spin magnetization: 0.00 μB/f.u.
* E_form: 11.1 meV per atom

a b c (Å): 7.784 9.642 7.784
angles (deg): 66.19 90.00 113.81
Element x y z (fractional)
Cs1 0.145 0.704 0.441
Cs2 0.559 0.704 0.855
Cs3 0.441 0.296 0.559
Cs4 0.855 0.296 0.145
Tl1 0.292 0.184 0.108
Tl2 0.892 0.184 0.708
Tl3 0.108 0.816 0.892
Tl4 0.708 0.816 0.292
Rh1 0.000 0.000 0.000

---

# 7
First-principles (GGA-PBE) data for a geometry-optimized LaCu2Ni2P structure, as listed in Alexandria.

Values from the calculation:
* spin magnetization: 0.00 μB/f.u.
* E_form: -336.4 meV per atom

a b c (Å): 4.215 4.215 5.666
angles (deg): 90.00 90.00 90.00
Element x y z (fractional)
La1 0.000 0.000 0.500
Cu1 0.500 0.500 0.730
Cu2 0.500 0.500 0.270
Ni1 0.500 0.000 0.000
Ni2 0.000 0.500 0.000
P1 0.000 0.000 0.000

---

# 8
First-principles (GGA-PBE) data for a geometry-optimized Bi4S5Cl structure, as listed in Alexandria.

Values from the calculation:
* spin magnetization: 0.00 μB/f.u.
* formation energy (no corrections): -312 meV/atom

a b c (Å): 6.985 8.482 9.636
angles (deg): 90.00 90.00 90.00
Element x y z (fractional)
Bi1 0.059 0.000 0.726
Bi2 0.504 0.797 0.000
Bi3 0.504 0.203 0.000
Bi4 0.059 0.000 0.274
Bi5 0.941 0.500 0.226
Bi6 0.496 0.703 0.500
Bi7 0.496 0.297 0.500
Bi8 0.941 0.500 0.774
S1 0.257 0.734 0.800
S2 0.257 0.266 0.800
S3 0.694 0.500 0.000
S4 0.257 0.734 0.200
S5 0.257 0.266 0.200
S6 0.743 0.766 0.300
S7 0.743 0.234 0.300
S8 0.306 0.000 0.500
S9 0.743 0.234 0.700
S10 0.743 0.766 0.700
Cl1 0.906 0.000 0.000
Cl2 0.094 0.500 0.500

---

# 9
First-principles (GGA-PBE) data for a geometry-optimized TaNbAl2 structure, as listed in Alexandria.

Values from the calculation:
* spin magnetization: 0.00 μB/f.u.
* E_form: 20.1 meV per atom

a b c (Å): 4.565 4.565 4.565
angles (deg): 60.00 60.00 60.00
Element x y z (fractional)
Nb1 0.000 0.000 0.000
Al1 0.250 0.250 0.250
Al2 0.750 0.750 0.750
Ta1 0.500 0.500 0.500

---

# 10
First-principles (GGA-PBE) data for a geometry-optimized ZrNi4N4 structure, as listed in Alexandria.

Values from the calculation:
* spin magnetization: 0.00 μB/f.u.
* formation energy (no corrections): -59 meV/atom

a b c (Å): 5.458 5.756 8.028
angles (deg): 62.99 77.65 59.84
Element x y z (fractional)
Ni1 0.657 0.664 0.216
Ni2 0.343 0.336 0.784
Ni3 0.797 0.173 0.915
Ni4 0.203 0.827 0.085
Ni5 0.728 0.481 0.554
Ni6 0.272 0.519 0.446
Ni7 0.216 0.951 0.617
Ni8 0.784 0.049 0.383
Zr1 0.760 0.741 0.807
Zr2 0.240 0.259 0.193
N1 0.050 0.738 0.589
N2 0.950 0.262 0.411
N3 0.909 0.772 0.029
N4 0.091 0.228 0.971
N5 0.535 0.548 0.766
N6 0.465 0.452 0.234
N7 0.608 0.859 0.364
N8 0.392 0.141 0.636

---

# 11
First-principles (GGA-PBE) data for a geometry-optimized Er9Sc4In11 structure, as listed in Alexandria.

Values from the calculation:
* spin magnetization: 1.21 μB/f.u.
* E_form: -364.0 meV per atom

a b c (Å): 3.363 13.500 13.500
angles (deg): 98.54 90.00 90.00
Element x y z (fractional)
Er1 0.500 0.626 0.143
Er2 0.500 0.374 0.857
Er3 0.500 0.143 0.626
Er4 0.500 0.857 0.374
Er5 0.500 0.791 0.963
Er6 0.500 0.209 0.037
Er7 0.500 0.963 0.791
Er8 0.500 0.037 0.209
Er9 0.500 0.500 0.500
Sc1 0.500 0.565 0.731
Sc2 0.500 0.435 0.269
Sc3 0.500 0.731 0.565
Sc4 0.500 0.269 0.435
In1 0.000 0.581 0.927
In2 0.000 0.419 0.073
In3 0.000 0.927 0.581
In4 0.000 0.073 0.419
In5 0.000 0.637 0.363
In6 0.000 0.363 0.637
In7 0.000 0.833 0.167
In8 0.000 0.167 0.833
In9 0.000 0.000 0.000
In10 0.000 0.757 0.757
In11 0.000 0.243 0.243

---

# 12
First-principles (GGA-PBE) data for a geometry-optimized K3CeGe2O8 structure, as listed in Alexandria.

Values from the calculation:
* spin magnetization: 1.06 μB/f.u.
* formation energy (no corrections): -1996 meV/atom

a b c (Å): 6.004 6.004 7.764
angles (deg): 90.00 90.00 120.00
Element x y z (fractional)
K1 0.333 0.667 0.689
K2 0.667 0.333 0.311
K3 0.000 0.000 0.000
Ce1 0.000 0.000 0.500
Ge1 0.333 0.667 0.246
Ge2 0.667 0.333 0.754
O1 0.333 0.667 0.020
O2 0.667 0.333 0.980
O3 0.174 0.826 0.328
O4 0.826 0.174 0.672
O5 0.174 0.347 0.328
O6 0.826 0.653 0.672
O7 0.653 0.826 0.328
O8 0.347 0.174 0.672

---

# 13
First-principles (GGA-PBE) data for a geometry-optimized Pr2Ho2Sc structure, as listed in Alexandria.

Values from the calculation:
* spin magnetization: 0.00 μB/f.u.
* E_form: 125.5 meV per atom

a b c (Å): 6.307 6.307 9.116
angles (deg): 108.91 108.06 94.80
Element x y z (fractional)
Pr1 0.431 0.361 0.156
Pr2 0.205 0.775 0.344
Pr3 0.569 0.639 0.844
Pr4 0.795 0.225 0.656
Ho1 0.865 0.238 0.042
Ho2 0.195 0.323 0.458
Ho3 0.135 0.762 0.958
Ho4 0.805 0.677 0.542
Sc1 0.680 0.930 0.250
Sc2 0.320 0.070 0.750

---

# 14
First-principles (GGA-PBE) data for a geometry-optimized Y3ErSc2 structure, as listed in Alexandria.

Values from the calculation:
* spin magnetization: 0.00 μB/f.u.
* E_form: 113.3 meV per atom

a b c (Å): 3.441 9.287 11.217
angles (deg): 85.27 90.00 90.00
Element x y z (fractional)
Y1 0.750 0.932 0.123
Y2 0.250 0.068 0.877
Y3 0.750 0.743 0.865
Y4 0.250 0.257 0.135
Y5 0.250 0.399 0.396
Y6 0.750 0.601 0.604
Er1 0.250 0.763 0.356
Er2 0.750 0.237 0.644
Sc1 0.250 0.431 0.848
Sc2 0.750 0.569 0.152
Sc3 0.750 0.080 0.382
Sc4 0.250 0.920 0.618

---

# 15
First-principles (GGA-PBE) data for a geometry-optimized SmPuPdAu structure, as listed in Alexandria.

Values from the calculation:
* spin magnetization: 5.81 μB/f.u.
* E_form: -559.3 meV per atom

a b c (Å): 5.106 5.106 5.106
angles (deg): 60.00 60.00 60.00
Element x y z (fractional)
Au1 0.250 0.250 0.250
Pd1 0.750 0.750 0.750
Sm1 0.000 0.000 0.000
Pu1 0.500 0.500 0.500

---

# 16
First-principles (GGA-PBE) data for a geometry-optimized YHS2 structure, as listed in Alexandria.

Values from the calculation:
* spin magnetization: 0.00 μB/f.u.
* VASP energy: -5.146 eV/atom

a b c (Å): 5.528 5.528 6.730
angles (deg): 65.75 65.75 90.00
Element x y z (fractional)
Y1 0.000 0.000 0.000
Y2 0.750 0.250 0.500
H1 0.500 0.500 0.000
H2 0.250 0.750 0.500
S1 0.559 0.125 0.250
S2 0.191 0.625 0.250
S3 0.375 0.441 0.750
S4 0.875 0.809 0.750

---

# 17
First-principles (GGA-PBE) data for a geometry-optimized Y5Bi2Se2 structure, as listed in Alexandria.

Values from the calculation:
* spin magnetization: 0.00 μB/f.u.
* formation energy (no corrections): -1064 meV/atom

a b c (Å): 8.049 8.006 8.542
angles (deg): 117.95 90.00 90.00
Element x y z (fractional)
Y1 0.000 0.000 0.000
Y2 0.500 0.500 0.000
Y3 0.842 0.780 0.248
Y4 0.158 0.468 0.248
Y5 0.342 0.968 0.248
Y6 0.658 0.280 0.248
Y7 0.158 0.220 0.752
Y8 0.842 0.532 0.752
Y9 0.658 0.032 0.752
Y10 0.342 0.720 0.752
Bi1 0.000 0.204 0.408
Bi2 0.500 0.704 0.408
Bi3 0.000 0.796 0.592
Bi4 0.500 0.296 0.592
Se1 0.642 0.854 0.000
Se2 0.358 0.146 0.000
Se3 0.142 0.646 0.000
Se4 0.858 0.354 0.000

---

# 18
First-principles (GGA-PBE) data for a geometry-optimized HoTm14Hf structure, as listed in Alexandria.

Values from the calculation:
* spin magnetization: 0.00 μB/f.u.
* E_form: 18.9 meV per atom

a b c (Å): 7.079 7.079 10.953
angles (deg): 90.00 90.00 119.97
Element x y z (fractional)
Ho1 0.333 0.667 0.000
Tm1 0.334 0.666 0.500
Tm2 0.833 0.167 0.500
Tm3 0.835 0.668 0.000
Tm4 0.833 0.666 0.500
Tm5 0.332 0.165 0.000
Tm6 0.334 0.167 0.500
Tm7 0.670 0.839 0.756
Tm8 0.670 0.839 0.244
Tm9 0.161 0.330 0.756
Tm10 0.161 0.330 0.244
Tm11 0.167 0.833 0.747
Tm12 0.167 0.833 0.253
Tm13 0.669 0.331 0.756
Tm14 0.669 0.331 0.244
Hf1 0.834 0.166 0.000

---

# 19
First-principles (GGA-PBE) data for a geometry-optimized MgZn3Pd structure, as listed in Alexandria.

Values from the calculation:
* spin magnetization: 0.00 μB/f.u.
* E_form: -276.1 meV per atom

a b c (Å): 4.939 5.172 7.019
angles (deg): 111.62 90.00 90.00
Element x y z (fractional)
Mg1 0.750 0.593 0.186
Mg2 0.250 0.407 0.814
Zn1 0.750 0.594 0.684
Zn2 0.750 0.090 0.684
Zn3 0.250 0.910 0.316
Zn4 0.250 0.406 0.316
Zn5 0.000 0.000 0.000
Zn6 0.500 0.000 0.000
Pd1 0.750 0.173 0.346
Pd2 0.250 0.827 0.654

---

# 20
First-principles (GGA-PBE) data for a geometry-optimized Tb5Tl3 structure, as listed in Alexandria.

Values from the calculation:
* spin magnetization: 0.00 μB/f.u.
* E_form: -302.2 meV per atom

a b c (Å): 9.078 9.078 6.665
angles (deg): 90.00 90.00 120.00
Element x y z (fractional)
Tb1 0.333 0.667 0.000
Tb2 0.667 0.333 0.500
Tb3 0.667 0.333 0.000
Tb4 0.333 0.667 0.500
Tb5 0.235 0.000 0.250
Tb6 0.000 0.235 0.250
Tb7 0.765 0.765 0.250
Tb8 0.765 0.000 0.750
Tb9 0.000 0.765 0.750
Tb10 0.235 0.235 0.750
Tl1 0.597 0.000 0.250
Tl2 0.000 0.597 0.250
Tl3 0.403 0.403 0.250
Tl4 0.403 0.000 0.750
Tl5 0.000 0.403 0.750
Tl6 0.597 0.597 0.750